(1)
{
  "formula": "PmSmTlPt",
  "functional": "PBE",
  "state": "optimized geometry",
  "ef_kj_per_mol_fu": -242,
  "n_ef_per_ev_atom": 0.955,
  "crystal_system": "cubic",
  "final_energy_ev_per_atom": -5.095,
  "vol_a3_per_cell": 103.5,
  "lattice": [[0.000, 3.727, 3.727], [3.727, 0.000, 3.727], [3.727, 3.727, 0.000]],
  "species": ["Pm", "Sm", "Tl", "Pt"],
  "frac_coords": [[0.000, 0.000, 0.000], [0.500, 0.500, 0.500], [0.250, 0.250, 0.250], [0.750, 0.750, 0.750]]
}



(2)
{
  "formula": "PmSmZnPt",
  "functional": "PBE",
  "state": "optimized geometry",
  "ef_kj_per_mol_fu": -270,
  "n_ef_per_ev_atom": 0.732,
  "polymorph_energy_mev_per_atom": 51,
  "crystal_system": "cubic",
  "final_energy_ev_per_atom": -4.896,
  "vol_a3_per_cell": 94.1,
  "lattice": [[0.000, 3.610, 3.610], [3.610, 0.000, 3.610], [3.610, 3.610, 0.000]],
  "species": ["Pm", "Sm", "Zn", "Pt"],
  "frac_coords": [[0.000, 0.000, 0.000], [0.500, 0.500, 0.500], [0.250, 0.250, 0.250], [0.750, 0.750, 0.750]]
}



(3)
{
  "formula": "PmSmZnPt",
  "functional": "PBE",
  "state": "optimized geometry",
  "ef_kj_per_mol_fu": -290,
  "n_ef_per_ev_atom": 0.726,
  "polymorph_energy_mev_per_atom": 0,
  "crystal_system": "orthorhombic",
  "final_energy_ev_per_atom": -4.948,
  "vol_a3_per_cell": 97.6,
  "lattice": [[4.542, 0.000, 0.000], [0.000, 1.964, 5.474], [0.000, -1.964, 5.474]],
  "species": ["Pm", "Sm", "Zn", "Pt"],
  "frac_coords": [[0.000, 0.000, 0.000], [0.500, 0.278, 0.278], [0.000, 0.715, 0.715], [0.500, 0.570, 0.570]]
}